[1]
This record from Alexandria via LeMat-Bulk describes a relaxed Zn2GaTcSn crystal. The functional is PBE-GGA.

Cell and atoms, written as CIF:
```
data_Zn2GaTcSn
_cell_length_a 4.913
_cell_length_b 5.090
_cell_length_c 4.913
_cell_angle_alpha 90.00
_cell_angle_beta 90.00
_cell_angle_gamma 90.00
_symmetry_space_group_name_H-M 'P 1'
_symmetry_Int_Tables_number 1
loop_
_symmetry_equiv_pos_as_xyz
'x,y,z'
loop_
_atom_site_label
_atom_site_type_symbol
_atom_site_fract_x
_atom_site_fract_y
_atom_site_fract_z
_atom_site_occupancy
Zn1 Zn 0.500 0.000 0.000 1
Zn2 Zn 0.000 0.000 0.500 1
Tc1 Tc 0.000 0.000 0.000 1
Ga1 Ga 0.500 0.500 0.500 1
Sn1 Sn 0.000 0.500 0.000 1
```

Values from the calculation:
energy of formation from the pure elements	10.919	kcal/mol of atoms
crystal system	tetragonal

=====

[2]
This record from Alexandria via LeMat-Bulk describes a relaxed Ga2Sn2Te crystal. The functional is PBE-GGA.

Cell and atoms, written as CIF:
```
data_Ga2Sn2Te
_cell_length_a 8.773
_cell_length_b 8.773
_cell_length_c 3.322
_cell_angle_alpha 90.00
_cell_angle_beta 90.00
_cell_angle_gamma 90.00
_symmetry_space_group_name_H-M 'P 1'
_symmetry_Int_Tables_number 1
loop_
_symmetry_equiv_pos_as_xyz
'x,y,z'
loop_
_atom_site_label
_atom_site_type_symbol
_atom_site_fract_x
_atom_site_fract_y
_atom_site_fract_z
_atom_site_occupancy
Sn1 Sn 0.671 0.171 0.000 1
Sn2 Sn 0.829 0.671 0.000 1
Sn3 Sn 0.329 0.829 0.000 1
Sn4 Sn 0.171 0.329 0.000 1
Te1 Te 0.500 0.500 0.000 1
Te2 Te 0.000 0.000 0.000 1
Ga1 Ga 0.624 0.876 0.500 1
Ga2 Ga 0.376 0.124 0.500 1
Ga3 Ga 0.876 0.376 0.500 1
Ga4 Ga 0.124 0.624 0.500 1
```

Values from the calculation:
formation energy (no corrections)	0.04	eV per atom
crystal system	tetragonal

=====

Results for density: 5.64; 6.55 (in g/cm3, following the order of the records).
Results for E_tot: -3.515; -3.401 (in eV per atom, following the order of the records).